# Ba2ErMo3O12

A relaxed Ba2ErMo3O12 crystal (PBE+U, Alexandria via LeMat-Bulk).

Structure (extended XYZ):
```
18
Lattice="3.7471 2.1634 5.8451 -3.7471 2.1634 5.8451 0.0000 -4.3268 5.8451" Properties=species:S:1:pos:R:3 pbc="T T T"
Ba 0.0000 0.0000 2.4449
Ba 0.0000 0.0000 15.0905
Er 0.0000 0.0000 8.7677
Mo -1.8735 -1.0817 5.8451
Mo -1.8735 1.0817 11.6903
Mo 0.0000 2.1634 5.8451
O -1.7820 -1.0289 7.7690
O 0.0000 -1.6165 5.7608
O -1.3999 0.8082 5.7608
O 0.0000 -2.0577 9.7664
O -1.7820 1.0289 9.7664
O -1.3999 -0.8082 11.7746
O 1.3999 0.8082 5.7608
O 1.7820 -1.0289 7.7690
O 0.0000 2.0577 7.7690
O 1.3999 -0.8082 11.7746
O 0.0000 1.6165 11.7746
O 1.7820 1.0289 9.7664
```

Output
V (Å³/atom): 15.79
Density of states at the Fermi level (states/eV/atom): 0.2152
Calculated density (g/cm3): 5.4
Size of the total moment (Bohr magnetons per cell): 1.00
E (eV/atom): -7.108